Arrangement i

Entry from Alexandria: an optimized crystal structure of La2MgZnFe (PBE-GGA).

Geometry as POSCAR:
```
La2MgZnFe
1.0
-0.5419 -4.7130 -1.9888
3.4350 -1.8172 3.3705
-3.6276 -0.9312 3.1950
Mg Zn Fe La
1 1 1 2
Cartesian
-0.3672 -3.7307 2.2883 Mg
-1.8138 -0.4656 1.5975 Zn
0.0000 0.0000 0.0000 Fe
1.7175 -0.9086 1.6852 La
-0.2709 -2.3565 -0.9944 La
```

Results
D(E_F)	4.14	states/eV/f.u.
M_tot	0.00	μB per atom


Arrangement ii

Entry from Alexandria: an optimized crystal structure of La2MgZnFe (PBE-GGA).

Geometry as POSCAR:
```
La2MgZnFe
1.0
-0.9941 -4.8439 -1.1930
1.7348 0.8049 -4.7136
4.6956 -1.3333 1.5005
Mg Zn Fe La
1 1 1 2
Cartesian
2.3478 -0.6666 0.7503 Mg
2.7181 -2.6862 -2.2030 Zn
0.0000 0.0000 0.0000 Fe
0.8674 0.4024 -2.3568 La
-0.4971 -2.4220 -0.5965 La
```

Results
D(E_F)	3.52	states/eV/f.u.
M_tot	0.00	μB per atom


What is the stability order? It is arrangement i, arrangement ii, from most stable to least stable.


Arrangement i

Entry from Alexandria: an optimized crystal structure of LaMnFe3 (PBE-GGA).

Geometry as POSCAR:
```
LaMnFe3
1.0
4.3987 0.0000 0.0000
0.0000 4.3987 0.0000
0.0000 0.0000 4.3987
Mn Fe La
1 3 1
Cartesian
0.0000 0.0000 0.0000 Mn
0.0000 2.1994 0.0000 Fe
0.0000 0.0000 2.1994 Fe
2.1994 0.0000 0.0000 Fe
2.1994 2.1994 2.1994 La
```

Results
D(E_F)	15.76	states/eV/f.u.
M_tot	0.97	μB per atom


Arrangement ii

Entry from Alexandria: an optimized crystal structure of LaMnFe3 (PBE-GGA).

Geometry as POSCAR:
```
LaMnFe3
1.0
-0.8388 -3.3097 2.8548
4.3527 -0.3686 0.8516
-0.3968 2.9526 3.3064
Mn Fe La
1 3 1
Cartesian
1.5586 -0.3628 3.5064 Mn
2.1764 -0.1843 0.4258 Fe
-0.1984 1.4763 1.6532 Fe
-0.4194 -1.6548 1.4274 Fe
0.0000 0.0000 0.0000 La
```

Results
D(E_F)	13.61	states/eV/f.u.
M_tot	0.75	μB per atom


What is the stability order? It is arrangement i, arrangement ii, from most stable to least stable.


Arrangement i

Entry from Alexandria: an optimized crystal structure of La2MnFe (PBE-GGA).

Geometry as POSCAR:
```
La2MnFe
1.0
-2.4213 -1.3179 2.5841
-2.6277 -1.3981 -3.1751
1.4559 -5.7858 -1.5864
Fe La Mn
1 2 1
Cartesian
-1.6498 -5.5496 -1.6135 Fe
-1.2727 -6.6034 -4.5601 La
-1.4061 -3.0363 -0.1035 La
-1.0220 -4.0885 -3.0427 Mn
```

Results
D(E_F)	4.73	states/eV/f.u.
M_tot	0.00	μB per atom


Arrangement ii

Entry from Alexandria: an optimized crystal structure of La2MnFe (PBE-GGA).

Geometry as POSCAR:
```
La2MnFe
1.0
-0.7637 -0.9151 -3.0356
-2.9051 -1.0487 1.0470
-3.4077 7.9137 -1.5284
Fe La Mn
1 2 1
Cartesian
-4.1719 4.4466 -2.0427 Fe
-3.1611 7.3412 -1.4178 La
-2.9124 1.5215 -1.4778 La
-1.9425 4.5112 -0.8713 Mn
```

Results
D(E_F)	7.00	states/eV/f.u.
M_tot	0.19	μB per atom


What is the stability order? It is arrangement i, arrangement ii, from most stable to least stable.